Computed, not measured: a geometry-optimized KCu structure at the GGA-PBE level of DFT.

## Properties
The calculation puts the formation energy at 0.80 eV per formula unit. The calculation puts the total magnetic moment at 0.0 μB per formula unit. As for the crystal system: tetragonal. The space group is I4/mmm.

Cell: 7.240 7.240 7.240 Å, 99.22 99.22 132.81°
Fractional positions:
K  0.000  0.279  0.279
K  0.000  0.721  0.721
K  0.279  0.000  0.279
K  0.721  0.000  0.721
Cu  0.372  0.372  0.744
Cu  0.372  0.628  0.000
Cu  0.628  0.372  0.000
Cu  0.628  0.628  0.256